The following is a PBE calculation of crystalline Ta3P at its relaxed geometry, from Alexandria.

The calculated density is 14.2 g/cm3. Its energy of formation from the pure elements is -0.1920 eV per atom. As for the space-group type: C2/m, No. 12.

Lattice parameters (Å, degrees): 4.896 4.896 4.652 72.91 72.91 39.45
Element x y z (fractional)
Ta  0.500  0.500  0.500
Ta  0.263  0.263  0.228
Ta  0.737  0.737  0.772
P  0.000  0.000  0.000

The following is a PBE calculation of crystalline TaP2 at its relaxed geometry, from Alexandria.

The calculated density is 9.3 g/cm3. Its energy of formation from the pure elements is -0.3599 eV per atom. As for the space-group type: Cmcm, No. 63.

Lattice parameters (Å, degrees): 6.364 6.364 4.381 90.00 90.00 150.73
Element x y z (fractional)
Ta  0.105  0.895  0.750
Ta  0.895  0.105  0.250
P  0.773  0.227  0.750
P  0.435  0.565  0.750
P  0.227  0.773  0.250
P  0.565  0.435  0.250

The following is a PBE calculation of crystalline TaP2 at its relaxed geometry, from Alexandria.

The calculated density is 8.5 g/cm3. Its energy of formation from the pure elements is -0.2778 eV per atom. As for the space-group type: P-3m1, No. 164.

Lattice parameters (Å, degrees): 3.189 3.189 5.405 90.00 90.00 120.00
Element x y z (fractional)
P  0.667  0.333  0.677
P  0.333  0.667  0.323
Ta  0.000  0.000  0.000

The following is a PBE calculation of crystalline Ta3P2 at its relaxed geometry, from Alexandria.

The calculated density is 12.4 g/cm3. Its energy of formation from the pure elements is -0.3401 eV per atom. As for the space-group type: Fdd2, No. 43.

Lattice parameters (Å, degrees): 7.670 6.931 5.282 76.49 61.47 42.03
Element x y z (fractional)
Ta  0.725  0.497  0.398
Ta  0.379  0.398  0.497
Ta  0.753  0.525  0.871
Ta  0.852  0.871  0.525
Ta  0.079  0.921  0.921
Ta  0.329  0.171  0.171
P  0.230  0.870  0.314
P  0.586  0.314  0.870
P  0.380  0.020  0.664
P  0.936  0.664  0.020

The following is a PBE calculation of crystalline Ta3P at its relaxed geometry, from Alexandria.

The calculated density is 13.7 g/cm3. Its energy of formation from the pure elements is -0.1808 eV per atom. As for the space-group type: P-6m2, No. 187.

Lattice parameters (Å, degrees): 3.087 3.087 8.436 90.00 90.00 120.00
Element x y z (fractional)
Ta  0.000  0.000  0.500
Ta  0.667  0.333  0.210
Ta  0.667  0.333  0.790
P  0.000  0.000  0.000

The following is a PBE calculation of crystalline TaP2 at its relaxed geometry, from Alexandria.

The calculated density is 8.6 g/cm3. Its energy of formation from the pure elements is -0.5135 eV per atom. As for the space-group type: I4/mcm, No. 140.

Lattice parameters (Å, degrees): 4.965 4.965 4.965 110.86 110.86 106.72
Element x y z (fractional)
Ta  0.250  0.250  0.000
Ta  0.750  0.750  0.000
P  0.362  0.862  0.225
P  0.638  0.138  0.775
P  0.138  0.362  0.500
P  0.862  0.638  0.500